1.
The following is a DFT calculation (PBE) of a relaxed structure of Li3Y.

Unit cell a=3.3984 b=5.3977 c=10.1141 alpha=90.00 beta=90.00 gamma=90.00
With the nearest neighbours (Å) after each atom.
Positions (direct):
Li1 0.0000 0.0000 0.0000  4 Li 2.83
Li2 0.0000 0.5000 0.2760  2 Li 2.83
Li3 0.0000 0.5000 0.7240  2 Li 2.83
Li4 0.5000 0.0000 0.2240  2 Li 2.83
Li5 0.5000 0.0000 0.7760  2 Li 2.83
Li6 0.5000 0.5000 0.5000  4 Li 2.83
Y1 0.0000 0.0000 0.5000  12 Li 3.19-3.52, 2 Y 3.40
Y2 0.5000 0.5000 0.0000  12 Li 3.19-3.52, 2 Y 3.40

Values from the calculation:
Total DFT energy (no corrections) ... -23.25 eV/cell
Magnetic moment ... 0.00 μB/cell


2.
The following is a DFT calculation (PBE) of a relaxed structure of Li3Y.

Unit cell a=3.2085 b=5.2592 c=5.6223 alpha=90.00 beta=90.00 gamma=90.00
With the nearest neighbours (Å) after each atom.
Positions (direct):
Li1 0.0000 0.0000 0.0000  6 Li 3.00-3.21, 4 Y 3.29
Li2 0.0000 0.5000 0.2930  8 Li 3.10-3.21, 4 Y 3.22-3.25
Li3 0.5000 0.0000 0.4519  8 Li 3.00-3.21, 2 Y 3.27
Y1 0.5000 0.5000 0.7963  2 Y 3.21, 10 Li 3.22-3.29

Values from the calculation:
Total DFT energy (no corrections) ... -11.56 eV/cell
Magnetic moment ... 0.00 μB/cell


3.
The following is a DFT calculation (PBE) of a relaxed structure of LiY.

Unit cell a=6.0952 b=6.5821 c=10.4264 alpha=90.00 beta=90.00 gamma=90.00
With the nearest neighbours (Å) after each atom.
Positions (direct):
Li1 0.1117 0.0529 0.3276  2 Li 2.68-2.87
Li2 0.2206 0.7170 0.0403  2 Li 2.68-2.87
Li3 0.2794 0.2830 0.5404  2 Li 2.68-2.87
Li4 0.3883 0.9471 0.8276  2 Li 2.68-2.87
Li5 0.6117 0.4471 0.6724  2 Li 2.68-2.87
Li6 0.7206 0.7830 0.9596  2 Li 2.68-2.87
Li7 0.7794 0.2170 0.4596  2 Li 2.68-2.87
Li8 0.8883 0.5529 0.1724  2 Li 2.68-2.87
Y1 0.0777 0.1667 0.0383  5 Li 3.09-3.43, 2 Y 3.34
Y2 0.0918 0.5261 0.7815  6 Li 3.08-3.41
Y3 0.4082 0.4739 0.2815  6 Li 3.08-3.41
Y4 0.4223 0.8333 0.5383  5 Li 3.09-3.43, 2 Y 3.34
Y5 0.5777 0.3333 0.9617  5 Li 3.09-3.43, 2 Y 3.34
Y6 0.5918 0.9739 0.2185  6 Li 3.08-3.41
Y7 0.9082 0.0261 0.7185  6 Li 3.08-3.41
Y8 0.9223 0.6667 0.4617  5 Li 3.09-3.43, 2 Y 3.34

Values from the calculation:
Total DFT energy (no corrections) ... -64.35 eV/cell
Magnetic moment ... 0.01 μB/cell


4.
The following is a DFT calculation (PBE) of a relaxed structure of LiY.

Unit cell a=5.9540 b=5.9540 c=5.9540 alpha=90.00 beta=90.00 gamma=90.00
With the nearest neighbours (Å) after each atom.
Positions (direct):
Li1 0.0938 0.4062 0.5938  7 Y 3.06-3.38
Li2 0.4062 0.5938 0.0938  7 Y 3.06-3.38
Li3 0.5938 0.0938 0.4062  7 Y 3.06-3.38
Li4 0.9062 0.9062 0.9062  7 Y 3.06-3.38
Y1 0.0785 0.9215 0.4215  7 Li 3.06-3.38
Y2 0.4215 0.0785 0.9215  7 Li 3.06-3.38
Y3 0.5785 0.5785 0.5785  7 Li 3.06-3.38
Y4 0.9215 0.4215 0.0785  7 Li 3.06-3.38

Values from the calculation:
Total DFT energy (no corrections) ... -31.66 eV/cell
Magnetic moment ... 0.01 μB/cell


5.
The following is a DFT calculation (PBE) of a relaxed structure of Li3Y.

Unit cell a=10.2350 b=10.2350 c=3.2043 alpha=90.00 beta=90.00 gamma=120.00
With the nearest neighbours (Å) after each atom.
Positions (direct):
Li1 0.0000 0.5000 0.0000  6 Li 3.14-3.20, 2 Y 3.14
Li2 0.1667 0.3333 0.3333  6 Li 3.14-3.20, 2 Y 3.14
Li3 0.1667 0.8333 0.3333  2 Y 3.14, 6 Li 3.14-3.20
Li4 0.3333 0.1667 0.6667  6 Li 3.14-3.20, 2 Y 3.14
Li5 0.5000 0.0000 0.0000  2 Y 3.14, 6 Li 3.14-3.20
Li6 0.5000 0.5000 0.0000  6 Li 3.14-3.20, 2 Y 3.14
Li7 0.6667 0.8333 0.3333  6 Li 3.14-3.20, 2 Y 3.14
Li8 0.8333 0.1667 0.6667  2 Y 3.14, 6 Li 3.14-3.20
Li9 0.8333 0.6667 0.6667  6 Li 3.14-3.20, 2 Y 3.14
Y1 0.0000 0.0000 0.0000  6 Li 3.14, 2 Y 3.20
Y2 0.3333 0.6667 0.6667  6 Li 3.14, 2 Y 3.20
Y3 0.6667 0.3333 0.3333  6 Li 3.14, 2 Y 3.20

Values from the calculation:
Total DFT energy (no corrections) ... -34.35 eV/cell
Magnetic moment ... 0.00 μB/cell


6.
The following is a DFT calculation (PBE) of a relaxed structure of LiY.

Unit cell a=3.3919 b=12.5081 c=5.0164 alpha=90.00 beta=90.00 gamma=90.00
With the nearest neighbours (Å) after each atom.
Positions (direct):
Li1 0.0000 0.0652 0.2500  2 Li 2.99, 5 Y 3.27-3.31
Li2 0.0000 0.9348 0.7500  2 Li 2.99, 5 Y 3.27-3.31
Li3 0.5000 0.4348 0.7500  2 Li 2.99, 5 Y 3.27-3.31
Li4 0.5000 0.5652 0.2500  2 Li 2.99, 5 Y 3.27-3.31
Y1 0.0000 0.3269 0.2500  7 Li 3.27-3.43, 6 Y 3.39-3.59
Y2 0.0000 0.6731 0.7500  7 Li 3.27-3.43, 6 Y 3.39-3.59
Y3 0.5000 0.1731 0.7500  7 Li 3.27-3.43, 6 Y 3.39-3.59
Y4 0.5000 0.8269 0.2500  7 Li 3.27-3.43, 6 Y 3.39-3.59

Values from the calculation:
Total DFT energy (no corrections) ... -32.39 eV/cell
Magnetic moment ... 0.00 μB/cell


7.
The following is a DFT calculation (PBE) of a relaxed structure of Li3Y.

Unit cell a=4.4579 b=4.4579 c=9.3145 alpha=90.00 beta=90.00 gamma=90.00
With the nearest neighbours (Å) after each atom.
Positions (direct):
Li1 0.0000 0.0000 0.0000  4 Y 3.15, 8 Li 3.22
Li2 0.0000 0.5000 0.2500  8 Li 3.15-3.22, 4 Y 3.22
Li3 0.0000 0.5000 0.7500  8 Li 3.15-3.22, 4 Y 3.22
Li4 0.5000 0.0000 0.2500  8 Li 3.15-3.22, 4 Y 3.22
Li5 0.5000 0.0000 0.7500  8 Li 3.15-3.22, 4 Y 3.22
Li6 0.5000 0.5000 0.5000  4 Y 3.15, 8 Li 3.22
Y1 0.0000 0.0000 0.5000  12 Li 3.15-3.22
Y2 0.5000 0.5000 0.0000  12 Li 3.15-3.22

Values from the calculation:
Total DFT energy (no corrections) ... -22.95 eV/cell
Magnetic moment ... 0.01 μB/cell


8.
The following is a DFT calculation (PBE) of a relaxed structure of LiY.

Unit cell a=3.4947 b=3.4947 c=10.5955 alpha=90.00 beta=90.00 gamma=120.00
With the nearest neighbours (Å) after each atom.
Positions (direct):
Li1 0.3333 0.6667 0.3907  3 Li 3.07, 3 Y 3.39
Li2 0.6667 0.3333 0.6093  3 Li 3.07, 3 Y 3.39
Y1 0.3333 0.6667 0.8667  3 Li 3.39, 9 Y 3.47-3.49
Y2 0.6667 0.3333 0.1333  3 Li 3.39, 9 Y 3.47-3.49

Values from the calculation:
Total DFT energy (no corrections) ... -16.36 eV/cell
Magnetic moment ... 0.00 μB/cell


9.
The following is a DFT calculation (PBE) of a relaxed structure of Li3Y.

Unit cell a=6.3843 b=6.3843 c=6.3843 alpha=90.00 beta=90.00 gamma=90.00
With the nearest neighbours (Å) after each atom.
Positions (direct):
Li1 0.0000 0.0000 0.5000  2 Y 3.19
Li2 0.0000 0.5000 0.0000  2 Y 3.19
Li3 0.5000 0.0000 0.0000  2 Y 3.19
Y1 0.0000 0.0000 0.0000  6 Li 3.19

Values from the calculation:
Total DFT energy (no corrections) ... -7.04 eV/cell
Magnetic moment ... 2.95 μB/cell


10.
The following is a DFT calculation (PBE) of a relaxed structure of Li3Y.

Unit cell a=3.3271 b=3.3271 c=30.7052 alpha=90.00 beta=90.00 gamma=120.00
With the nearest neighbours (Å) after each atom.
Positions (direct):
Li1 0.0000 0.0000 0.0000  12 Li 3.03-3.33
Li2 0.0000 0.0000 0.2570  9 Li 3.03-3.33, 3 Y 3.37
Li3 0.0000 0.0000 0.7430  9 Li 3.03-3.33, 3 Y 3.37
Li4 0.3333 0.6667 0.4097  9 Li 3.03-3.33, 3 Y 3.37
Li5 0.3333 0.6667 0.6667  12 Li 3.03-3.33
Li6 0.3333 0.6667 0.9236  9 Li 3.03-3.33, 3 Y 3.37
Li7 0.6667 0.3333 0.0764  9 Li 3.03-3.33, 3 Y 3.37
Li8 0.6667 0.3333 0.3333  12 Li 3.03-3.33
Li9 0.6667 0.3333 0.5903  9 Li 3.03-3.33, 3 Y 3.37
Y1 0.0000 0.0000 0.5000  6 Y 3.33, 6 Li 3.37
Y2 0.3333 0.6667 0.1667  6 Y 3.33, 6 Li 3.37
Y3 0.6667 0.3333 0.8333  6 Y 3.33, 6 Li 3.37

Values from the calculation:
Total DFT energy (no corrections) ... -35.30 eV/cell
Magnetic moment ... 0.00 μB/cell


11.
The following is a DFT calculation (PBE) of a relaxed structure of LiY.

Unit cell a=3.7444 b=12.8537 c=6.5000 alpha=90.00 beta=90.00 gamma=90.00
With the nearest neighbours (Å) after each atom.
Positions (direct):
Li1 0.0000 0.0000 0.0000  4 Li 2.73, 1 Y 2.92
Li2 0.0000 0.3933 0.2782  3 Li 2.73-2.74
Li3 0.0000 0.6067 0.2782  3 Li 2.73-2.74
Li4 0.5000 0.1067 0.7782  3 Li 2.73-2.74
Li5 0.5000 0.5000 0.5000  4 Li 2.73, 1 Y 2.92
Li6 0.5000 0.8933 0.7782  3 Li 2.73-2.74
Y1 0.0000 0.0000 0.4489  5 Li 2.92-3.16
Y2 0.0000 0.2937 0.7153  3 Li 3.07-3.12
Y3 0.0000 0.7063 0.7153  3 Li 3.07-3.12
Y4 0.5000 0.2063 0.2153  3 Li 3.07-3.12
Y5 0.5000 0.5000 0.9489  5 Li 2.92-3.16
Y6 0.5000 0.7937 0.2153  3 Li 3.07-3.12

Values from the calculation:
Total DFT energy (no corrections) ... -47.98 eV/cell
Magnetic moment ... 2.07 μB/cell


12.
The following is a DFT calculation (PBE) of a relaxed structure of LiY.

Unit cell a=9.9876 b=9.9876 c=9.9876 alpha=90.00 beta=90.00 gamma=90.00
With the nearest neighbours (Å) after each atom.
Positions (direct):
Li1 0.1926 0.1926 0.1926  4 Y 3.26-3.34
Li2 0.1926 0.8074 0.8074  4 Y 3.26-3.34
Li3 0.3074 0.3074 0.6926  4 Y 3.26-3.34
Li4 0.3074 0.6926 0.3074  4 Y 3.26-3.34
Li5 0.6926 0.3074 0.3074  4 Y 3.26-3.34
Li6 0.6926 0.6926 0.6926  4 Y 3.26-3.34
Li7 0.8074 0.1926 0.8074  4 Y 3.26-3.34
Li8 0.8074 0.8074 0.1926  4 Y 3.26-3.34
Y1 0.1144 0.1144 0.8856  3 Y 3.23, 4 Li 3.26-3.34
Y2 0.1144 0.8856 0.1144  3 Y 3.23, 4 Li 3.26-3.34
Y3 0.3856 0.3856 0.3856  3 Y 3.23, 4 Li 3.26-3.34
Y4 0.3856 0.6144 0.6144  3 Y 3.23, 4 Li 3.26-3.34
Y5 0.6144 0.3856 0.6144  3 Y 3.23, 4 Li 3.26-3.34
Y6 0.6144 0.6144 0.3856  3 Y 3.23, 4 Li 3.26-3.34
Y7 0.8856 0.1144 0.1144  3 Y 3.23, 4 Li 3.26-3.34
Y8 0.8856 0.8856 0.8856  3 Y 3.23, 4 Li 3.26-3.34

Values from the calculation:
Total DFT energy (no corrections) ... -50.51 eV/cell
Magnetic moment ... 0.00 μB/cell


13.
The following is a DFT calculation (PBE) of a relaxed structure of Li3Y.

Unit cell a=10.2257 b=10.5245 c=3.4620 alpha=90.00 beta=90.00 gamma=90.00
With the nearest neighbours (Å) after each atom.
Positions (direct):
Li1 0.0000 0.1032 0.2500  6 Li 2.78-2.94
Li2 0.0000 0.8968 0.7500  6 Li 2.78-2.94
Li3 0.2312 0.1207 0.7500  6 Li 2.94-3.25, 2 Y 3.25
Li4 0.2312 0.8793 0.2500  6 Li 2.94-3.25, 2 Y 3.25
Li5 0.2688 0.3793 0.2500  6 Li 2.94-3.25, 2 Y 3.25
Li6 0.2688 0.6207 0.7500  6 Li 2.94-3.25, 2 Y 3.25
Li7 0.5000 0.3968 0.7500  6 Li 2.78-2.94
Li8 0.5000 0.6032 0.2500  6 Li 2.78-2.94
Li9 0.7312 0.3793 0.2500  6 Li 2.94-3.25, 2 Y 3.25
Li10 0.7312 0.6207 0.7500  6 Li 2.94-3.25, 2 Y 3.25
Li11 0.7688 0.1207 0.7500  6 Li 2.94-3.25, 2 Y 3.25
Li12 0.7688 0.8793 0.2500  6 Li 2.94-3.25, 2 Y 3.25
Y1 0.0000 0.3613 0.7500  8 Li 3.22-3.46, 4 Y 3.39-3.46
Y2 0.0000 0.6387 0.2500  8 Li 3.22-3.46, 4 Y 3.39-3.46
Y3 0.5000 0.1387 0.2500  8 Li 3.22-3.46, 4 Y 3.39-3.46
Y4 0.5000 0.8613 0.7500  8 Li 3.22-3.46, 4 Y 3.39-3.46

Values from the calculation:
Total DFT energy (no corrections) ... -47.09 eV/cell
Magnetic moment ... 0.00 μB/cell